1.
TmGaCoPd | PBE-GGA | relaxed

## Properties
The formation energy comes out at -0.51 eV/atom. As for the total magnetization: 0.67 μB/cell. The space-group type is F-43m, No. 216.

Cell: 4.5123 4.5123 4.5123 Å, 60.00 60.00 60.00°
With the nearest neighbours (Å) after each atom.
Fractional positions:
Pd: 0.2500 0.2500 0.2500  4 Ga 2.76, 4 Tm 2.76
Ga: 0.5000 0.5000 0.5000  4 Co 2.76, 4 Pd 2.76
Co: 0.7500 0.7500 0.7500  4 Ga 2.76, 4 Tm 2.76
Tm: 0.0000 0.0000 0.0000  4 Pd 2.76, 4 Co 2.76

2.
Sm3Dy2Sc3 | PBE-GGA | relaxed

## Properties
The formation energy comes out at 0.05 eV/atom. As for the total magnetization: 0.00 μB/cell. The space-group type is Immm, No. 71.

Cell: 4.8211 4.9541 10.4747 Å, 103.68 103.30 90.00°
With the nearest neighbours (Å) after each atom.
Fractional positions:
Sm: 0.3781 0.3781 0.7563  6 Sc 3.41-3.46, 2 Sm 3.46, 4 Dy 3.52
Sm: 0.6219 0.6219 0.2437  6 Sc 3.41-3.46, 2 Sm 3.46, 4 Dy 3.52
Sm: 0.5000 0.0000 0.0000  8 Sc 3.44-3.46, 4 Sm 3.46
Dy: 0.7482 0.2482 0.4964  4 Sc 3.44-3.53, 4 Dy 3.46, 4 Sm 3.52
Dy: 0.2518 0.7518 0.5036  4 Sc 3.44-3.53, 4 Dy 3.46, 4 Sm 3.52
Sc: 0.8756 0.8756 0.7511  4 Dy 3.44-3.53, 6 Sm 3.44-3.46, 2 Sc 3.49
Sc: 0.1244 0.1244 0.2489  4 Dy 3.44-3.53, 6 Sm 3.44-3.46, 2 Sc 3.49
Sc: 0.0000 0.5000 0.0000  8 Sm 3.41-3.46, 4 Sc 3.49

3.
YTi2V2 | PBE-GGA | relaxed

## Properties
The formation energy comes out at 0.37 eV/atom. As for the total magnetization: 0.00 μB/cell. The space-group type is I4/mmm, No. 139. The energy above the most stable polymorph in this dataset is 0.0930 eV/atom.

Cell: 4.0137 4.0137 6.5244 Å, 72.09 72.09 90.00°
With the nearest neighbours (Å) after each atom.
Fractional positions:
Y: 0.0000 0.0000 0.0000  8 V 3.05
V: 0.4052 0.4052 0.1896  1 V 2.23
V: 0.5948 0.5948 0.8104  1 V 2.23
Ti: 0.2500 0.7500 0.5000  4 V 2.71, 4 Ti 2.84
Ti: 0.7500 0.2500 0.5000  4 V 2.71, 4 Ti 2.84

4.
MgTaRu2 | PBE-GGA | relaxed

## Properties
The formation energy comes out at -0.02 eV/atom. As for the total magnetization: 0.00 μB/cell. The space-group type is C2/m, No. 12.

Cell: 4.6133 4.6133 5.0272 Å, 74.12 74.12 38.74°
With the nearest neighbours (Å) after each atom.
Fractional positions:
Ru: 0.4905 0.4905 0.5076  3 Ta 2.59-2.86, 3 Mg 2.72-2.76
Ru: 0.0095 0.0095 0.9924  3 Ta 2.59-2.86, 3 Mg 2.72-2.76
Mg: 0.2500 0.2500 0.2500  6 Ru 2.72-2.76, 4 Ta 2.94
Ta: 0.7500 0.7500 0.7500  6 Ru 2.59-2.86

5.
Ce3BiC | PBE-GGA | relaxed

## Properties
The formation energy comes out at -0.49 eV/atom. As for the total magnetization: 2.06 μB/cell. The space-group type is Pm-3m, No. 221.

Cell: 4.9893 4.9893 4.9893 Å, 90.00 90.00 90.00°
With the nearest neighbours (Å) after each atom.
Fractional positions:
Ce: 0.5000 0.0000 0.0000  2 C 2.49
Ce: 0.0000 0.0000 0.5000  2 C 2.49
Ce: 0.0000 0.5000 0.0000  2 C 2.49
C: 0.0000 0.0000 0.0000  6 Ce 2.49
Bi: 0.5000 0.5000 0.5000  12 Ce 3.53

6.
Ag3PtBr8 | PBE-GGA | relaxed

## Properties
As for the total magnetization: 0.00 μB/cell. The space-group type is C222, No. 21. The calculation puts the formation energy without anion corrections at -0.267 eV/atom.

Cell: 6.9626 6.9626 8.1789 Å, 90.00 90.00 113.49°
With the nearest neighbours (Å) after each atom.
Fractional positions:
Br: 0.7342 0.7384 0.7128  1 Pt 2.51
Br: 0.2681 0.7319 0.0000  3 Ag 2.70-2.73
Br: 0.2658 0.2616 0.7128  1 Pt 2.51
Br: 0.2849 0.7151 0.5000  1 Pt 2.50
Br: 0.2616 0.2658 0.2872  1 Pt 2.51
Br: 0.7151 0.2849 0.5000  1 Pt 2.50
Br: 0.7319 0.2681 0.0000  3 Ag 2.70-2.73
Br: 0.7384 0.7342 0.2872  1 Pt 2.51
Ag: 0.0000 0.5000 0.2379  6 Br 2.73-2.92
Ag: 0.5000 0.5000 0.0000  6 Br 2.70-2.96
Ag: 0.5000 0.0000 0.7621  6 Br 2.73-2.92
Pt: 0.5000 0.5000 0.5000  6 Br 2.50-2.51

total magnetization of number 5 (Ce3BiC)?
2.06 μB/cell

Copy entry 1 word for word.
TmGaCoPd | PBE-GGA | relaxed

## Properties
The formation energy comes out at -0.51 eV/atom. As for the total magnetization: 0.67 μB/cell. The space-group type is F-43m, No. 216.

Cell: 4.5123 4.5123 4.5123 Å, 60.00 60.00 60.00°
With the nearest neighbours (Å) after each atom.
Fractional positions:
Pd: 0.2500 0.2500 0.2500  4 Ga 2.76, 4 Tm 2.76
Ga: 0.5000 0.5000 0.5000  4 Co 2.76, 4 Pd 2.76
Co: 0.7500 0.7500 0.7500  4 Ga 2.76, 4 Tm 2.76
Tm: 0.0000 0.0000 0.0000  4 Pd 2.76, 4 Co 2.76